# 1
DFT (meta-GGA SCAN) results for a crystal of V2P3O12 relaxed with PBEsol.

a b c (Å): 8.652 8.652 8.652
angles (deg): 58.24 58.24 58.24
Sites, in units of the cell vectors:
V 0.140 0.140 0.140
V 0.360 0.360 0.360
V 0.640 0.640 0.640
V 0.860 0.860 0.860
P 0.031 0.750 0.469
P 0.250 0.531 0.969
P 0.469 0.031 0.750
P 0.531 0.969 0.250
P 0.750 0.469 0.031
P 0.969 0.250 0.531
O 0.004 0.775 0.645
O 0.061 0.928 0.286
O 0.072 0.714 0.939
O 0.145 0.275 0.504
O 0.214 0.572 0.439
O 0.225 0.355 0.996
O 0.275 0.504 0.145
O 0.286 0.061 0.928
O 0.355 0.996 0.225
O 0.428 0.561 0.786
O 0.439 0.214 0.572
O 0.496 0.855 0.725
O 0.504 0.145 0.275
O 0.561 0.786 0.428
O 0.572 0.439 0.214
O 0.645 0.004 0.775
O 0.714 0.939 0.072
O 0.725 0.496 0.855
O 0.775 0.645 0.004
O 0.786 0.428 0.561
O 0.855 0.725 0.496
O 0.928 0.286 0.061
O 0.939 0.072 0.714
O 0.996 0.225 0.355

- space-group type = R-3c
- DOS at the Fermi energy (states/eV/f.u.) = 4.0
- electronic total energy (eV per atom) = -10.7516
- total moment (μB/cell) = 2.00

---

# 2
DFT (meta-GGA SCAN) results for a crystal of V3P6O20 relaxed with PBEsol.

a b c (Å): 8.368 8.368 12.219
angles (deg): 90.00 90.00 105.06
Sites, in units of the cell vectors:
V 0.207 0.793 0.750
V 0.262 0.738 0.250
V 0.361 0.361 0.000
V 0.639 0.639 0.500
V 0.738 0.262 0.750
V 0.793 0.207 0.250
P 0.130 0.405 0.681
P 0.198 0.322 0.224
P 0.242 0.647 0.514
P 0.322 0.198 0.776
P 0.353 0.758 0.986
P 0.405 0.130 0.319
P 0.595 0.870 0.819
P 0.647 0.242 0.486
P 0.678 0.802 0.276
P 0.758 0.353 0.014
P 0.802 0.678 0.724
P 0.870 0.595 0.181
O 0.026 0.237 0.261
O 0.031 0.720 0.202
O 0.137 0.465 0.556
O 0.176 0.553 0.756
O 0.190 0.660 0.397
O 0.201 0.774 0.590
O 0.226 0.799 0.910
O 0.237 0.026 0.739
O 0.241 0.507 0.211
O 0.243 0.245 0.116
O 0.245 0.243 0.884
O 0.278 0.318 0.683
O 0.280 0.969 0.298
O 0.318 0.278 0.317
O 0.340 0.810 0.103
O 0.358 0.575 0.975
O 0.425 0.642 0.525
O 0.447 0.824 0.744
O 0.465 0.137 0.444
O 0.493 0.759 0.289
O 0.507 0.241 0.789
O 0.535 0.863 0.944
O 0.553 0.176 0.244
O 0.575 0.358 0.025
O 0.642 0.425 0.475
O 0.660 0.190 0.603
O 0.682 0.722 0.817
O 0.720 0.031 0.798
O 0.722 0.682 0.183
O 0.755 0.757 0.384
O 0.757 0.755 0.616
O 0.759 0.493 0.711
O 0.763 0.974 0.239
O 0.774 0.201 0.410
O 0.799 0.226 0.090
O 0.810 0.340 0.897
O 0.824 0.447 0.256
O 0.863 0.535 0.056
O 0.969 0.280 0.702
O 0.974 0.763 0.761

- space-group type = C222_1
- DOS at the Fermi energy (states/eV/f.u.) = 8.9
- electronic total energy (eV per atom) = -10.7326
- total moment (μB/cell) = 10.00

---

# 3
DFT (meta-GGA SCAN) results for a crystal of VP3O9 relaxed with PBEsol.

a b c (Å): 7.353 7.353 9.473
angles (deg): 122.39 122.39 52.18
Sites, in units of the cell vectors:
V 0.240 0.760 0.500
V 0.760 0.240 0.000
P 0.035 0.238 0.822
P 0.238 0.035 0.322
P 0.275 0.448 0.675
P 0.448 0.275 0.175
P 0.692 0.795 0.237
P 0.795 0.692 0.737
O 0.082 0.152 0.181
O 0.147 0.910 0.334
O 0.152 0.082 0.681
O 0.218 0.310 0.006
O 0.310 0.218 0.506
O 0.313 0.620 0.667
O 0.365 0.427 0.335
O 0.427 0.365 0.835
O 0.497 0.844 0.297
O 0.560 0.995 0.148
O 0.561 0.739 0.590
O 0.620 0.313 0.167
O 0.739 0.561 0.090
O 0.815 0.901 0.898
O 0.844 0.497 0.797
O 0.901 0.815 0.398
O 0.910 0.147 0.834
O 0.995 0.560 0.648

- space-group type = Cc
- energy relative to the lowest polymorph listed for this composition (meV per atom) = 0
- total moment (μB/cell) = 4.00

---

Listing calculated volume for the structures above in their given order: 12.9; 14.2; 12.5 A^3/atom.